# 1
# PBE Ba2Mg3Hg2, relaxed
data_Ba2Mg3Hg2
_space_group_name_H-M_alt 'P 1'
_space_group_IT_number 1
_cell_length_a 6.694
_cell_length_b 6.694
_cell_length_c 8.481
_cell_angle_alpha 115.78
_cell_angle_beta 115.78
_cell_angle_gamma 41.46
loop_
_space_group_symop_operation_xyz
'x,y,z'
loop_
_atom_site_label
_atom_site_fract_x
_atom_site_fract_y
_atom_site_fract_z
Ba1 0.132 0.132 0.271
Ba2 0.868 0.868 0.729
Mg1 0.357 0.357 0.071
Mg2 0.500 0.500 0.500
Mg3 0.643 0.643 0.929
Hg1 0.147 0.147 0.712
Hg2 0.853 0.853 0.288
# total DFT energy (no corrections)	-1.61	eV per atom
# density	5.6	g/cm3
# symmetry	No. 12
# calculated volume	223	Å³/cell

---

# 2
# PBE DyVCl2, relaxed
data_DyVCl2
_space_group_name_H-M_alt 'P 1'
_space_group_IT_number 1
_cell_length_a 8.999
_cell_length_b 8.999
_cell_length_c 8.999
_cell_angle_alpha 20.89
_cell_angle_beta 20.89
_cell_angle_gamma 20.89
loop_
_space_group_symop_operation_xyz
'x,y,z'
loop_
_atom_site_label
_atom_site_fract_x
_atom_site_fract_y
_atom_site_fract_z
Dy1 0.000 0.000 0.000
V1 0.500 0.500 0.500
Cl1 0.106 0.106 0.106
Cl2 0.894 0.894 0.894
# total DFT energy (no corrections)	-4.83	eV per atom
# density	5.8	g/cm3
# symmetry	No. 166
# calculated volume	81	Å³/cell